Entry 1:
A relaxed structure of SmHgSO, computed with PBE.

```
data_SmHgSO
_chemical_formula_sum 'Sm4 Hg4 S4 O4'
_space_group_name_H-M_alt 'P 1'
_space_group_IT_number 1
_cell_length_a 7.919
_cell_length_b 8.824
_cell_length_c 5.457
_cell_angle_alpha 90.00
_cell_angle_beta 90.00
_cell_angle_gamma 90.00
loop_
_space_group_symop_operation_xyz
'x,y,z'
loop_
_atom_site_label
_atom_site_fract_x
_atom_site_fract_y
_atom_site_fract_z
_atom_site_occupancy
O1 0.987 0.094 0.122 1
O2 0.513 0.094 0.622 1
O3 0.487 0.906 0.122 1
O4 0.013 0.906 0.622 1
S1 0.402 0.615 0.568 1
S2 0.902 0.385 0.568 1
S3 0.598 0.385 0.068 1
S4 0.098 0.615 0.068 1
Sm1 0.559 0.325 0.567 1
Sm2 0.441 0.675 0.067 1
Sm3 0.941 0.325 0.067 1
Sm4 0.059 0.675 0.567 1
Hg1 0.336 0.108 0.993 1
Hg2 0.664 0.892 0.493 1
Hg3 0.836 0.892 0.993 1
Hg4 0.164 0.108 0.493 1
```

Calculated values
Calculated total energy in eV/atom: -4.873
Magnetization in μB per atom: 0.00
Distance to the lowest polymorph of the same formula in eV per formula unit: 2.06

---

Entry 2:
A relaxed structure of SmHgSO, computed with PBE.

```
data_SmHgSO
_chemical_formula_sum 'Sm4 Hg4 S4 O4'
_space_group_name_H-M_alt 'P 1'
_space_group_IT_number 1
_cell_length_a 5.747
_cell_length_b 5.749
_cell_length_c 12.972
_cell_angle_alpha 90.00
_cell_angle_beta 91.79
_cell_angle_gamma 90.00
loop_
_space_group_symop_operation_xyz
'x,y,z'
loop_
_atom_site_label
_atom_site_fract_x
_atom_site_fract_y
_atom_site_fract_z
_atom_site_occupancy
Sm1 0.497 0.822 0.914 1
Sm2 0.503 0.322 0.086 1
Sm3 0.005 0.823 0.087 1
Sm4 0.995 0.323 0.913 1
O1 0.753 0.570 0.000 1
O2 0.750 0.071 0.000 1
O3 0.247 0.070 0.000 1
O4 0.250 0.571 0.000 1
Hg1 0.998 0.340 0.268 1
Hg2 0.378 0.093 0.504 1
Hg3 0.622 0.593 0.496 1
Hg4 0.002 0.840 0.732 1
S1 0.284 0.053 0.249 1
S2 0.291 0.129 0.755 1
S3 0.716 0.553 0.751 1
S4 0.709 0.629 0.245 1
```

Calculated values
Calculated total energy in eV/atom: -5.320
Magnetization in μB per atom: 0.00
Distance to the lowest polymorph of the same formula in eV per formula unit: 0.28

---

Entry 3:
A relaxed structure of SnHgSO, computed with PBE.

```
data_SnHgSO
_chemical_formula_sum 'Sn2 Hg2 S2 O2'
_space_group_name_H-M_alt 'P 1'
_space_group_IT_number 1
_cell_length_a 3.914
_cell_length_b 3.913
_cell_length_c 12.800
_cell_angle_alpha 90.00
_cell_angle_beta 90.00
_cell_angle_gamma 120.00
loop_
_space_group_symop_operation_xyz
'x,y,z'
loop_
_atom_site_label
_atom_site_fract_x
_atom_site_fract_y
_atom_site_fract_z
_atom_site_occupancy
O1 0.000 0.000 0.829 1
O2 0.000 0.000 0.329 1
S1 0.333 0.667 0.614 1
S2 0.667 0.333 0.114 1
Hg1 0.667 0.333 0.753 1
Hg2 0.333 0.667 0.253 1
Sn1 0.000 0.000 0.491 1
Sn2 0.000 0.000 0.991 1
```

Calculated values
Calculated total energy in eV/atom: -3.589
Distance to the lowest polymorph of the same formula in eV per formula unit: 1.45

---

Entry 4:
A relaxed structure of SnHgSO, computed with PBE.

```
data_SnHgSO
_chemical_formula_sum 'Sn2 Hg2 S2 O2'
_space_group_name_H-M_alt 'P 1'
_space_group_IT_number 1
_cell_length_a 10.569
_cell_length_b 10.569
_cell_length_c 5.415
_cell_angle_alpha 90.00
_cell_angle_beta 90.00
_cell_angle_gamma 20.40
loop_
_space_group_symop_operation_xyz
'x,y,z'
loop_
_atom_site_label
_atom_site_fract_x
_atom_site_fract_y
_atom_site_fract_z
_atom_site_occupancy
O1 0.967 0.967 0.029 1
O2 0.033 0.033 0.529 1
Sn1 0.946 0.946 0.387 1
Sn2 0.054 0.054 0.887 1
S1 0.379 0.379 0.502 1
S2 0.621 0.621 0.002 1
Hg1 0.268 0.268 0.975 1
Hg2 0.732 0.732 0.475 1
```

Calculated values
Calculated total energy in eV/atom: -3.936
Distance to the lowest polymorph of the same formula in eV per formula unit: 0.06

---

Entry 5:
A relaxed structure of SnHgSO, computed with PBE.

```
data_SnHgSO
_chemical_formula_sum 'Sn2 Hg2 S2 O2'
_space_group_name_H-M_alt 'P 1'
_space_group_IT_number 1
_cell_length_a 4.289
_cell_length_b 4.289
_cell_length_c 9.166
_cell_angle_alpha 90.00
_cell_angle_beta 90.00
_cell_angle_gamma 90.00
loop_
_space_group_symop_operation_xyz
'x,y,z'
loop_
_atom_site_label
_atom_site_fract_x
_atom_site_fract_y
_atom_site_fract_z
_atom_site_occupancy
Sn1 0.750 0.750 0.164 1
Sn2 0.250 0.250 0.836 1
O1 0.750 0.250 0.500 1
O2 0.250 0.750 0.500 1
Hg1 0.750 0.750 0.585 1
Hg2 0.250 0.250 0.415 1
S1 0.750 0.750 0.878 1
S2 0.250 0.250 0.122 1
```

Calculated values
Calculated total energy in eV/atom: -3.543
Distance to the lowest polymorph of the same formula in eV per formula unit: 1.63

---

Entry 6:
A relaxed structure of SnHgSO, computed with PBE.

```
data_SnHgSO
_chemical_formula_sum 'Sn2 Hg2 S2 O2'
_space_group_name_H-M_alt 'P 1'
_space_group_IT_number 1
_cell_length_a 3.910
_cell_length_b 3.909
_cell_length_c 12.682
_cell_angle_alpha 90.00
_cell_angle_beta 90.00
_cell_angle_gamma 120.00
loop_
_space_group_symop_operation_xyz
'x,y,z'
loop_
_atom_site_label
_atom_site_fract_x
_atom_site_fract_y
_atom_site_fract_z
_atom_site_occupancy
S1 0.667 0.333 0.101 1
S2 0.333 0.667 0.601 1
Hg1 0.000 0.000 0.001 1
Hg2 0.000 0.000 0.501 1
Sn1 0.333 0.667 0.263 1
Sn2 0.667 0.333 0.763 1
O1 0.000 0.000 0.323 1
O2 0.000 0.000 0.823 1
```

Calculated values
Calculated total energy in eV/atom: -3.807
Distance to the lowest polymorph of the same formula in eV per formula unit: 0.58